No. 1
! AlGa2N3 | the Alexandria database | PBE | optimized geometry; values from VASP
&SYSTEM
  ibrav = 0, nat = 6, ntyp = 3
/
ATOMIC_SPECIES
Al 26.98 Al.upf
Ga 69.72 Ga.upf
N 14.01 N.upf
CELL_PARAMETERS angstrom
-1.094 2.062 -2.160
-0.581 -3.366 -2.919
-3.600 0.005 4.168
ATOMIC_POSITIONS angstrom
Al -0.691 0.196 -1.804
Ga -3.657 -0.240 -0.718
Ga -1.906 -2.736 -1.646
N -0.007 -0.041 -0.036
N -2.990 -0.411 1.122
N -2.275 -0.836 -1.987
! Formation energy (no corrections)   -0.7794 eV per atom

=====

No. 2
! CrCd2P | the Alexandria database | PBE | optimized geometry; values from VASP
&SYSTEM
  ibrav = 0, nat = 4, ntyp = 3
/
ATOMIC_SPECIES
Cd 112.41 Cd.upf
Cr 52.00 Cr.upf
P 30.97 P.upf
CELL_PARAMETERS angstrom
3.233 0.000 0.000
0.000 4.559 -0.018
0.000 2.892 5.094
ATOMIC_POSITIONS angstrom
Cd 0.000 0.000 0.000
Cd 1.617 2.280 -0.009
Cr 1.617 3.726 2.538
P 0.000 1.446 2.547
! Energy relative to the elements   1.402 eV per formula unit

=====

No. 3
! BeRe2Ni | the Alexandria database | PBE | optimized geometry; values from VASP
&SYSTEM
  ibrav = 0, nat = 4, ntyp = 3
/
ATOMIC_SPECIES
Re 186.21 Re.upf
Ni 58.69 Ni.upf
Be 9.01 Be.upf
CELL_PARAMETERS angstrom
2.702 -0.004 0.000
0.004 2.702 0.000
0.000 0.000 6.652
ATOMIC_POSITIONS angstrom
Re 0.000 0.000 0.147
Re 0.000 0.000 3.179
Ni 1.353 1.349 4.989
Be 1.353 1.349 1.663
! Energy relative to the elements   0.333 eV per formula unit

=====

| no. | magnetic moment (μB/atom) |
| --- | --- |
| 1 | 0.0000 |
| 2 | 0.9194 |
| 3 | 0.0000 |